No. 1
DFT (PBE) results for ZrAgPb2 after structural relaxation.

Computed properties:
total energy = -18.5 eV/f.u.
excess energy over the best structure of this formula in the dataset = 118 meV per atom

Cell lengths 3.3740, 4.2511, 6.7071 Å; angles 90.00, 90.00, 90.00 degrees
Closest atoms and distances in Å follow each position.
Atoms (fractional coordinates):
1 Ag 0.5000 0.5000 0.7500  8 Pb 3.18, 2 Zr 3.35, 2 Ag 3.37
2 Pb 0.0000 0.0000 0.9972  4 Ag 3.18, 4 Zr 3.20, 4 Pb 3.32-3.39
3 Pb 0.0000 0.0000 0.5028  4 Ag 3.18, 4 Zr 3.20, 4 Pb 3.32-3.39
4 Zr 0.5000 0.5000 0.2500  8 Pb 3.20, 2 Ag 3.35, 2 Zr 3.37


No. 2
DFT (PBE) results for ZrAgPb2 after structural relaxation.

Computed properties:
total energy = -18.2 eV/f.u.
excess energy over the best structure of this formula in the dataset = 185 meV per atom

Cell lengths 6.0347, 6.0347, 6.0347 Å; angles 145.83, 126.90, 64.68 degrees
Closest atoms and distances in Å follow each position.
Atoms (fractional coordinates):
1 Ag 0.2500 0.7500 0.5000  4 Pb 3.03, 4 Zr 3.23
2 Pb 0.0093 0.0093 0.0000  2 Ag 3.03, 2 Zr 3.18, 4 Pb 3.23
3 Pb 0.4907 0.4907 0.0000  2 Ag 3.03, 2 Zr 3.18, 4 Pb 3.23
4 Zr 0.7500 0.2500 0.5000  4 Pb 3.18, 4 Ag 3.23, 2 Zr 3.55


No. 3
DFT (PBE) results for Zr4AgPb after structural relaxation.

Computed properties:
total energy = -39.1 eV/f.u.

Cell lengths 5.8064, 5.8064, 5.8064 Å; angles 60.00, 60.00, 60.00 degrees
Closest atoms and distances in Å follow each position.
Atoms (fractional coordinates):
1 Zr 0.8757 0.3748 0.3748  6 Zr 2.90-2.91
2 Zr 0.3748 0.3748 0.8757  6 Zr 2.90-2.91
3 Zr 0.3748 0.8757 0.3748  6 Zr 2.90-2.91
4 Zr 0.3748 0.3748 0.3748  6 Zr 2.90-2.91
5 Ag 0.7500 0.7500 0.7500  12 Zr 3.40, 4 Pb 3.56
6 Pb 0.0000 0.0000 0.0000  12 Zr 3.40, 4 Ag 3.56


No. 4
DFT (PBE) results for ZrAgPb2 after structural relaxation.

Computed properties:
total energy = -18.7 eV/f.u.
excess energy over the best structure of this formula in the dataset = 72 meV per atom

Cell lengths 3.5100, 4.4257, 6.2734 Å; angles 90.00, 90.00, 90.00 degrees
Closest atoms and distances in Å follow each position.
Atoms (fractional coordinates):
1 Ag 0.5000 0.5000 0.7547  5 Pb 2.94-3.13, 4 Zr 3.28
2 Pb 0.0000 0.0000 0.9703  2 Zr 3.02-3.25, 4 Ag 3.13
3 Pb 0.5000 0.5000 0.2864  1 Ag 2.94, 4 Zr 3.10
4 Zr 0.0000 0.0000 0.4886  6 Pb 3.02-3.25, 4 Ag 3.28


No. 5
DFT (PBE) results for Zr2AgPb2 after structural relaxation.

Computed properties:
total energy = -27.0 eV/f.u.
excess energy over the best structure of this formula in the dataset = 0 meV per atom

Cell lengths 7.5200, 7.5200, 4.2036 Å; angles 90.00, 90.00, 90.00 degrees
Closest atoms and distances in Å follow each position.
Atoms (fractional coordinates):
1 Pb 0.3606 0.8606 0.0000  2 Ag 2.91, 6 Zr 2.93-3.14, 1 Pb 2.96
2 Pb 0.8606 0.6394 0.0000  2 Ag 2.91, 6 Zr 2.93-3.14, 1 Pb 2.96
3 Pb 0.6394 0.1394 0.0000  2 Ag 2.91, 6 Zr 2.93-3.14, 1 Pb 2.96
4 Pb 0.1394 0.3606 0.0000  2 Ag 2.91, 6 Zr 2.93-3.14, 1 Pb 2.96
5 Zr 0.1690 0.6690 0.5000  6 Pb 2.93-3.14
6 Zr 0.6690 0.8310 0.5000  6 Pb 2.93-3.14
7 Zr 0.8310 0.3310 0.5000  6 Pb 2.93-3.14
8 Zr 0.3310 0.1690 0.5000  6 Pb 2.93-3.14
9 Ag 0.0000 0.0000 0.0000  4 Pb 2.91
10 Ag 0.5000 0.5000 0.0000  4 Pb 2.91


No. 6
DFT (PBE) results for ZrAgPb4 after structural relaxation.

Computed properties:
total energy = -23.3 eV/f.u.

Cell lengths 6.2818, 6.2818, 6.2818 Å; angles 60.00, 60.00, 60.00 degrees
Closest atoms and distances in Å follow each position.
Atoms (fractional coordinates):
1 Zr 0.7500 0.7500 0.7500  12 Pb 3.68, 4 Ag 3.85
2 Ag 0.0000 0.0000 0.0000  12 Pb 3.68, 4 Zr 3.85
3 Pb 0.8729 0.3757 0.3757  6 Pb 3.12-3.16
4 Pb 0.3757 0.3757 0.8729  6 Pb 3.12-3.16
5 Pb 0.3757 0.8729 0.3757  6 Pb 3.12-3.16
6 Pb 0.3757 0.3757 0.3757  6 Pb 3.12-3.16


No. 7
DFT (PBE) results for ZrAgPb2 after structural relaxation.

Computed properties:
total energy = -18.5 eV/f.u.
excess energy over the best structure of this formula in the dataset = 120 meV per atom

Cell lengths 10.7692, 10.7692, 10.7692 Å; angles 17.84, 17.84, 17.84 degrees
Closest atoms and distances in Å follow each position.
Atoms (fractional coordinates):
1 Ag 0.7549 0.7549 0.7549  3 Zr 2.99, 3 Pb 3.18, 6 Ag 3.34
2 Pb 0.0086 0.0086 0.0086  3 Ag 3.18, 6 Pb 3.34
3 Pb 0.2430 0.2430 0.2430  3 Zr 3.26, 6 Pb 3.34
4 Zr 0.4935 0.4935 0.4935  3 Ag 2.99, 3 Pb 3.26, 6 Zr 3.34


No. 8
DFT (PBE) results for ZrAgPb2 after structural relaxation.

Computed properties:
total energy = -19.0 eV/f.u.
excess energy over the best structure of this formula in the dataset = 0 meV per atom

Cell lengths 5.9753, 5.9753, 5.3671 Å; angles 70.84, 70.84, 32.17 degrees
Closest atoms and distances in Å follow each position.
Atoms (fractional coordinates):
1 Pb 0.9932 0.9932 0.0714  3 Ag 3.08-3.24, 4 Zr 3.13-3.19, 3 Pb 3.31-3.41
2 Pb 0.7602 0.7602 0.6716  3 Zr 3.12-3.19, 4 Ag 3.15-3.17, 3 Pb 3.31-3.41
3 Zr 0.5095 0.5095 0.5664  7 Pb 3.12-3.19, 2 Ag 3.17, 2 Zr 3.31
4 Ag 0.2371 0.2371 0.1906  7 Pb 3.08-3.24, 2 Zr 3.17, 2 Ag 3.31


DFT formation energy for every record listed, in sequence, given in eV per atom: 0.08, 0.15, 0.28, 0.03, 0.07, 0.49, 0.08, -0.04.